{"formula": "Co2NiPt6", "functional": "GGA-PBE", "state": "relaxed", "dos_at_fermi_per_ev_fu": 11.705, "formation_energy_ev_per_atom": 0.318, "volume_a3_per_fu": 148.3, "de_polymorph_ev_per_fu": 3.84, "magnetic_moment_mub_per_atom": 0.5722, "cell": [[2.640, 1.524, 6.141], [-2.640, 1.524, 6.141], [0.000, -3.049, 6.141]], "species": ["Co", "Co", "Ni", "Pt", "Pt", "Pt", "Pt", "Pt", "Pt"], "frac_coords": [[0.000, 0.000, 0.000], [0.123, 0.123, 0.123], [0.379, 0.379, 0.379], [0.144, 0.674, 0.632], [0.388, 0.495, 0.942], [0.495, 0.942, 0.388], [0.632, 0.144, 0.674], [0.674, 0.632, 0.144], [0.942, 0.388, 0.495]]}


{"formula": "Co3Ni4Pt12", "functional": "GGA-PBE", "state": "relaxed", "dos_at_fermi_per_ev_fu": 26.625, "formation_energy_ev_per_atom": 0.443, "volume_a3_per_fu": 388.6, "magnetic_moment_mub_per_atom": 0.8003, "cell": [[-4.597, 4.597, 4.597], [4.597, -4.597, 4.597], [4.597, 4.597, -4.597]], "species": ["Co", "Co", "Co", "Ni", "Ni", "Ni", "Ni", "Pt", "Pt", "Pt", "Pt", "Pt", "Pt", "Pt", "Pt", "Pt", "Pt", "Pt", "Pt"], "frac_coords": [[0.000, 0.500, 0.500], [0.500, 0.000, 0.500], [0.500, 0.500, 0.000], [0.000, 0.000, 0.500], [0.000, 0.500, 0.000], [0.500, 0.000, 0.000], [0.500, 0.500, 0.500], [0.085, 0.355, 0.731], [0.269, 0.624, 0.355], [0.269, 0.915, 0.645], [0.355, 0.269, 0.624], [0.355, 0.731, 0.085], [0.376, 0.645, 0.731], [0.624, 0.355, 0.269], [0.645, 0.269, 0.915], [0.645, 0.731, 0.376], [0.731, 0.085, 0.355], [0.731, 0.376, 0.645], [0.915, 0.645, 0.269]]}


{"formula": "CoNiPt2", "functional": "GGA-PBE", "state": "relaxed", "dos_at_fermi_per_ev_fu": 5.087, "formation_energy_ev_per_atom": -0.077, "volume_a3_per_fu": 54.2, "magnetic_moment_mub_per_atom": 0.8499, "cell": [[4.455, -1.361, 0.000], [4.455, 1.361, 0.000], [-0.900, 0.000, 4.467]], "species": ["Co", "Ni", "Pt", "Pt"], "frac_coords": [[0.000, 0.000, 0.000], [0.260, 0.260, 0.740], [0.509, 0.509, 0.516], [0.750, 0.750, 0.222]]}


{"formula": "Co2NiPt", "functional": "GGA-PBE", "state": "relaxed", "dos_at_fermi_per_ev_fu": 5.842, "formation_energy_ev_per_atom": 0.416, "volume_a3_per_fu": 53.8, "magnetic_moment_mub_per_atom": 1.2179, "cell": [[-3.278, 3.278, 2.504], [3.278, -3.278, 2.504], [3.278, 3.278, -2.504]], "species": ["Co", "Co", "Co", "Co", "Ni", "Ni", "Pt", "Pt"], "frac_coords": [[0.098, 0.625, 0.973], [0.375, 0.348, 0.473], [0.652, 0.125, 0.027], [0.875, 0.902, 0.527], [0.000, 0.000, 0.000], [0.750, 0.250, 0.500], [0.250, 0.750, 0.500], [0.500, 0.500, 0.000]]}